Record 1
Below is a PBEsol-optimized structure of KSmTiO4, with properties calculated at the meta-GGA SCAN level.

Summary:
theoretical density: 5.27 g/cm³
formation energy from raw total energies: -3.2818 eV per atom
calculated total energy: -16.671 eV/atom

a b c (Å): 13.0841 5.4310 5.3476
angles (deg): 90.00 90.00 90.00
With the nearest neighbours (Å) after each atom.
Space group Pbcm (No. 57)
Unique sites:
1 K 0.0944 0.0162 0.2500 [4 per cell]  7 O 2.68-2.96
2 Sm 0.3971 0.0200 0.2500 [4 per cell]  6 O 2.24-2.46
3 Ti 0.2500 0.5057 0.2500 [4 per cell]  5 O 1.75-1.96
4 O 0.1163 0.5250 0.2500 [4 per cell]  1 Ti 1.75
5 O 0.2713 0.2500 0.0000 [4 per cell]  2 Ti 1.95
6 O 0.2917 0.7500 0.0000 [4 per cell]  2 Ti 1.96
7 O 0.4346 0.0551 0.7500 [4 per cell]  2 Sm 2.24-2.36, 1 Ti 2.44



Record 2
Below is a PBEsol-optimized structure of KSmW2O8, with properties calculated at the meta-GGA SCAN level.

Summary:
theoretical density: 7.06 g/cm³
formation energy from raw total energies: -2.7301 eV per atom
calculated total energy: -22.896 eV/atom

a b c (Å): 10.7157 10.5492 7.5179
angles (deg): 90.00 130.64 90.00
With the nearest neighbours (Å) after each atom.
Space group C2/c (No. 15)
Unique sites:
1 K 0.0000 0.2046 0.2500 [4 per cell]  10 O 2.85-3.15
2 Sm 0.0000 0.2283 0.7500 [4 per cell]  6 O 2.32-2.36
3 W 0.1957 0.4983 0.7333 [8 per cell]  4 O 1.80-1.96
4 O 0.0233 0.3922 0.9760 [8 per cell]  2 W 1.96-2.10
5 O 0.1266 0.0809 0.6837 [8 per cell]  1 W 1.80
6 O 0.1907 0.4305 0.4478 [8 per cell]  1 W 1.81
7 O 0.2283 0.1587 0.1302 [8 per cell]  1 W 1.84



Record 3
Below is a PBEsol-optimized structure of KSmW2O8, with properties calculated at the meta-GGA SCAN level.

Summary:
theoretical density: 6.99 g/cm³
formation energy from raw total energies: -2.7268 eV per atom
calculated total energy: -22.893 eV/atom

a b c (Å): 10.1280 10.6495 7.4400
angles (deg): 90.00 125.82 90.00
With the nearest neighbours (Å) after each atom.
Space group C2/m (No. 12)
Unique sites:
1 K 0.1887 0.0000 0.0263 [4 per cell]  4 O 2.54-2.80
2 Sm 0.0000 0.1947 0.5000 [4 per cell]  8 O 2.37-2.49
3 W 0.0000 0.3352 0.0000 [4 per cell]  4 O 1.79-1.92
4 W 0.2023 0.5000 0.4447 [4 per cell]  4 O 1.79-1.99
5 O 0.0169 0.5000 0.8435 [4 per cell]  3 W 1.99-2.17
6 O 0.0447 0.2341 0.8502 [8 per cell]  1 W 1.79
7 O 0.0727 0.0000 0.3920 [4 per cell]  1 W 1.85
8 O 0.1665 0.3703 0.5646 [8 per cell]  1 W 1.79
9 O 0.2216 0.3730 0.2385 [8 per cell]  2 W 1.92-2.14



Record 4
Below is a PBEsol-optimized structure of K4SnO3, with properties calculated at the meta-GGA SCAN level.

Summary:
theoretical density: 3.15 g/cm³
formation energy from raw total energies: -1.4862 eV per atom
calculated total energy: -12.477 eV/atom

a b c (Å): 6.4569 11.2530 18.7323
angles (deg): 90.00 90.00 90.00
With the nearest neighbours (Å) after each atom.
Space group Pbca (No. 61)
Unique sites:
1 K 0.0457 0.1141 0.2032 [8 per cell]  3 O 2.68-2.82
2 K 0.1243 0.6745 0.6555 [8 per cell]  3 O 2.61-2.73
3 K 0.2287 0.1894 0.4435 [8 per cell]  4 O 2.64-2.76
4 K 0.2440 0.0551 0.0360 [8 per cell]  5 O 2.68-2.92
5 Sn 0.1090 0.5662 0.8500 [8 per cell]  3 O 2.06-2.07
6 O 0.0408 0.5960 0.1561 [8 per cell]  1 Sn 2.07
7 O 0.0441 0.1480 0.5667 [8 per cell]  1 Sn 2.06
8 O 0.1225 0.0172 0.9013 [8 per cell]  1 Sn 2.06